Compound: ZrWCl2O
Source: Alexandria
Functional: PBE+U
Structure: optimized geometry

Values from the calculation:
Crystal system: tetragonal
D(E_F): 3.31 states/eV/f.u.
Raw total energy: -5.08 eV per atom

Geometry as CIF:
```
data_ZrWCl2O
_symmetry_space_group_name_H-M 'P 4/m m m'
_symmetry_Int_Tables_number 123
_symmetry_space_group_name_Hall '-P 4 2'
_cell_length_a 5.502
_cell_length_b 5.502
_cell_length_c 3.817
_cell_angle_alpha 90.00
_cell_angle_beta 90.00
_cell_angle_gamma 90.00
loop_
_atom_site_label
_atom_site_type_symbol
_atom_site_fract_x
_atom_site_fract_y
_atom_site_fract_z
Zr1 Zr 0.000 0.000 0.000
W1 W 0.500 0.500 0.500
Cl1 Cl 0.000 0.500 0.500
O1 O 0.500 0.500 0.000
```